The following is a GGA+U calculation of a relaxed NaCr2O3 crystal, from Alexandria.

Cell: 5.4945 3.0113 8.2287 Å, 90.00 91.07 90.00°
Element x y z (fractional)
Na 0.0934 0.2500 0.3498
Na 0.9066 0.7500 0.6502
Cr 0.2446 0.2500 0.0008
Cr 0.3981 0.2500 0.6634
Cr 0.6019 0.7500 0.3366
Cr 0.7554 0.7500 0.9992
O 0.0867 0.7500 0.1215
O 0.2770 0.7500 0.5238
O 0.4275 0.7500 0.8650
O 0.5725 0.2500 0.1350
O 0.7230 0.2500 0.4762
O 0.9133 0.2500 0.8785

The calculated volume comes out at 11.34 Å³ per atom. The total moment comes out at 1.167 μB per atom. As for the space group: P2_1/m (11). Its final energy is -82.5 eV for the cell shown.